1.
ThBe2IrPd2: optimized geometry, GGA-PBE.

It has space group I4/mmm (No. 139), with a = 4.055 Å, b = 4.055 Å, c = 12.564 Å, α = 90.00°, β = 90.00° and γ = 90.00°. Symmetry generates all atoms from Th at (0.000, 0.000, 0.000), Be at (0.000, 0.000, 0.326), Ir at (0.000, 0.000, 0.500) and Pd at (0.000, 0.500, 0.250).

The density of states at the Fermi level comes out at 1.55 states/eV/f.u. Its formation energy is -0.526 eV per atom. As for the spin magnetization: 0.00 μB/f.u. The uncorrected energy is -74.55 eV for the cell shown.


2.
YBeIrPd2: optimized geometry, GGA-PBE.

It has space group P4/mmm (No. 123), with a = 4.312 Å, b = 4.312 Å, c = 4.335 Å, α = 90.00°, β = 90.00° and γ = 90.00°. Symmetry generates all atoms from Y at (0.000, 0.000, 0.000), Be at (0.500, 0.500, 0.500), Ir at (0.500, 0.500, 0.000) and Pd at (0.000, 0.500, 0.500).

The density of states at the Fermi level comes out at 0.67 states/eV/f.u. Its formation energy is -0.657 eV per atom. As for the spin magnetization: 0.00 μB/f.u. The uncorrected energy is -32.72 eV for the cell shown.


3.
PmBeIr3: optimized geometry, GGA-PBE.

It has space group Pm-3m (No. 221), with a = 4.311 Å, b = 4.311 Å, c = 4.311 Å, α = 90.00°, β = 90.00° and γ = 90.00°. Symmetry generates all atoms from Pm at (0.000, 0.000, 0.000), Be at (0.500, 0.500, 0.500) and Ir at (0.000, 0.500, 0.500).

The density of states at the Fermi level comes out at 2.63 states/eV/f.u. Its formation energy is -0.377 eV per atom. As for the spin magnetization: 0.00 μB/f.u. The uncorrected energy is -36.95 eV for the cell shown.


4.
Pm3Be4Ir4: optimized geometry, GGA-PBE.

It has space group I-43m (No. 217), with a = 7.244 Å, b = 7.244 Å, c = 7.244 Å, α = 90.00°, β = 90.00° and γ = 90.00°. Symmetry generates all atoms from Pm at (0.000, 0.000, 0.500), Be at (0.181, 0.181, 0.181) and Ir at (0.138, 0.138, 0.862).

The density of states at the Fermi level comes out at 5.41 states/eV/f.u. Its formation energy is -0.531 eV per atom. As for the spin magnetization: 0.00 μB/f.u. The uncorrected energy is -140.88 eV for the cell shown.


5.
Pm4Be2Ir3: optimized geometry, GGA-PBE.

It has space group C2/m (No. 12), with a = 15.927 Å, b = 3.642 Å, c = 6.767 Å, α = 90.00°, β = 106.63° and γ = 90.00°. Symmetry generates all atoms from Pm at (0.065, 0.000, 0.359), Pm at (0.238, 0.500, 0.221), Be at (0.096, 0.000, 0.945), Ir at (0.000, 0.500, 0.000) and Ir at (0.116, 0.500, 0.746).

The density of states at the Fermi level comes out at 6.15 states/eV/f.u. Its formation energy is -0.451 eV per atom. As for the spin magnetization: 0.00 μB/f.u. The uncorrected energy is -114.20 eV for the cell shown.


6.
PmBeIr: optimized geometry, GGA-PBE.

It has space group P2_1/c (No. 14), with a = 5.841 Å, b = 5.785 Å, c = 7.170 Å, α = 90.00°, β = 114.43° and γ = 90.00°. Symmetry generates all atoms from Pm at (0.200, 0.124, 0.375), Be at (0.406, 0.591, 0.320) and Ir at (0.240, 0.648, 0.552).

The density of states at the Fermi level comes out at 1.76 states/eV/f.u. Its formation energy is -0.533 eV per atom. As for the spin magnetization: 0.00 μB/f.u. The uncorrected energy is -75.75 eV for the cell shown. The relative energy among the computed polymorphs is 55 meV/atom.


7.
PmBeIr: optimized geometry, GGA-PBE.

It has space group Imma (No. 74), with a = 5.206 Å, b = 5.596 Å, c = 7.044 Å, α = 90.00°, β = 90.00° and γ = 90.00°. Symmetry generates all atoms from Pm at (0.000, 0.250, 0.128), Be at (0.250, 0.250, 0.750) and Ir at (0.000, 0.000, 0.500).

The density of states at the Fermi level comes out at 1.70 states/eV/f.u. Its formation energy is -0.427 eV per atom. As for the spin magnetization: 0.00 μB/f.u. The uncorrected energy is -74.48 eV for the cell shown. The relative energy among the computed polymorphs is 161 meV/atom.


8.
PmBeIr: optimized geometry, GGA-PBE.

It has space group P2_1/c (No. 14), with a = 5.720 Å, b = 5.662 Å, c = 7.588 Å, α = 90.00°, β = 114.10° and γ = 90.00°. Symmetry generates all atoms from Pm at (0.197, 0.129, 0.380), Be at (0.276, 0.639, 0.547) and Ir at (0.371, 0.603, 0.290).

The density of states at the Fermi level comes out at 1.77 states/eV/f.u. Its formation energy is -0.529 eV per atom. As for the spin magnetization: 0.00 μB/f.u. The uncorrected energy is -75.70 eV for the cell shown. The relative energy among the computed polymorphs is 59 meV/atom.


9.
PmBe2Ir: optimized geometry, GGA-PBE.

It has space group P6_3/mmc (No. 194), with a = 3.9016 Å, b = 3.9016 Å, c = 10.0028 Å, α = 90.00°, β = 90.00° and γ = 120.00°. Symmetry generates all atoms from Pm at (0.3333, 0.6667, 0.2500), Be at (0.3333, 0.6667, 0.5427) and Ir at (0.0000, 0.0000, 0.0000).

The density of states at the Fermi level comes out at 2.69 states/eV/f.u. Its formation energy is -0.456 eV per atom. As for the spin magnetization: 0.00 μB/f.u. The uncorrected energy is -45.78 eV for the cell shown. The relative energy among the computed polymorphs is 19 meV/atom.


10.
Pm3Be3Ir2: optimized geometry, GGA-PBE.

It has space group Pnma (No. 62), with a = 7.867 Å, b = 14.164 Å, c = 5.492 Å, α = 90.00°, β = 90.00° and γ = 90.00°. Symmetry generates all atoms from Pm at (0.052, 0.108, 0.112), Pm at (0.206, 0.250, 0.594), Be at (0.140, 0.750, 0.555), Be at (0.180, 0.039, 0.621) and Ir at (0.104, 0.592, 0.384).

The density of states at the Fermi level comes out at 6.24 states/eV/f.u. Its formation energy is -0.413 eV per atom. As for the spin magnetization: 0.00 μB/f.u. The uncorrected energy is -185.84 eV for the cell shown.


11.
PmBeIr: optimized geometry, GGA-PBE.

It has space group I4mm (No. 107), with a = 3.132 Å, b = 3.132 Å, c = 10.524 Å, α = 90.00°, β = 90.00° and γ = 90.00°. Symmetry generates all atoms from Pm at (0.000, 0.000, 0.000), Be at (0.000, 0.000, 0.286) and Ir at (0.000, 0.000, 0.709).

The density of states at the Fermi level comes out at 1.88 states/eV/f.u. Its formation energy is -0.344 eV per atom. As for the spin magnetization: 0.00 μB/f.u. The uncorrected energy is -36.74 eV for the cell shown. The relative energy among the computed polymorphs is 244 meV/atom.


12.
PmBe2Ir: optimized geometry, GGA-PBE.

It has space group R-3m (No. 166, hexagonal axes), with a = 3.9115 Å, b = 3.9115 Å, c = 14.8736 Å, α = 90.00°, β = 90.00° and γ = 120.00°. Symmetry generates all atoms from Pm at (0.0000, 0.0000, 0.0000), Be at (0.0000, 0.0000, 0.1940) and Ir at (0.0000, 0.0000, 0.5000).

The density of states at the Fermi level comes out at 1.91 states/eV/f.u. Its formation energy is -0.476 eV per atom. As for the spin magnetization: 0.00 μB/f.u. The uncorrected energy is -68.90 eV for the cell shown. The relative energy among the computed polymorphs is 0 meV/atom.


13.
PmBe3Ir: optimized geometry, GGA-PBE.

It has space group Pm-3m (No. 221), with a = 4.304 Å, b = 4.304 Å, c = 4.304 Å, α = 90.00°, β = 90.00° and γ = 90.00°. Symmetry generates all atoms from Pm at (0.000, 0.000, 0.000), Be at (0.000, 0.500, 0.500) and Ir at (0.500, 0.500, 0.500).

The density of states at the Fermi level comes out at 1.63 states/eV/f.u. Its formation energy is -0.330 eV per atom. As for the spin magnetization: 0.00 μB/f.u. The uncorrected energy is -26.44 eV for the cell shown.


14.
Pm3Be4Ir2Pt2: optimized geometry, GGA-PBE.

It has space group P-3m1 (No. 164), with a = 3.9492 Å, b = 3.9492 Å, c = 14.8227 Å, α = 90.00°, β = 90.00° and γ = 120.00°. Symmetry generates all atoms from Pm at (0.0000, 0.0000, 0.0000), Pm at (0.0000, 0.0000, 0.2798), Be at (0.3333, 0.6667, 0.4231), Be at (0.3333, 0.6667, 0.8604), Ir at (0.3333, 0.6667, 0.1405) and Pt at (0.3333, 0.6667, 0.5772).

The density of states at the Fermi level comes out at 5.38 states/eV/f.u. Its formation energy is -0.616 eV per atom. As for the spin magnetization: 0.00 μB/f.u. The uncorrected energy is -65.74 eV for the cell shown.


15.
PmBe4IrPt2: optimized geometry, GGA-PBE.

It has space group R-3m (No. 166, hexagonal axes), with a = 3.9484 Å, b = 3.9484 Å, c = 24.8882 Å, α = 90.00°, β = 90.00° and γ = 120.00°. Symmetry generates all atoms from Pm at (0.0000, 0.0000, 0.0000), Be at (0.0000, 0.0000, 0.1354), Be at (0.0000, 0.0000, 0.4107), Ir at (0.0000, 0.0000, 0.5000) and Pt at (0.0000, 0.0000, 0.2400).

The density of states at the Fermi level comes out at 1.50 states/eV/f.u. Its formation energy is -0.666 eV per atom. As for the spin magnetization: 0.00 μB/f.u. The uncorrected energy is -137.77 eV for the cell shown.


16.
Pm2Be4IrPt3: optimized geometry, GGA-PBE.

It has space group P-4m2 (No. 115), with a = 4.070 Å, b = 4.070 Å, c = 9.533 Å, α = 90.00°, β = 90.00° and γ = 90.00°. Symmetry generates all atoms from Pm at (0.000, 0.500, 0.246), Be at (0.000, 0.000, 0.500), Be at (0.000, 0.500, 0.881), Be at (0.500, 0.500, 0.500), Ir at (0.500, 0.500, 0.000), Pt at (0.000, 0.000, 0.000) and Pt at (0.000, 0.500, 0.623).

The density of states at the Fermi level comes out at 7.17 states/eV/f.u. Its formation energy is -0.826 eV per atom. As for the spin magnetization: 0.00 μB/f.u. The uncorrected energy is -59.65 eV for the cell shown.


17.
PmBe4Ir2Pt: optimized geometry, GGA-PBE.

It has space group R-3m (No. 166, hexagonal axes), with a = 3.9313 Å, b = 3.9313 Å, c = 24.8235 Å, α = 90.00°, β = 90.00° and γ = 120.00°. Symmetry generates all atoms from Pm at (0.0000, 0.0000, 0.0000), Be at (0.0000, 0.0000, 0.1295), Be at (0.0000, 0.0000, 0.4097), Ir at (0.0000, 0.0000, 0.2391) and Pt at (0.0000, 0.0000, 0.5000).

The density of states at the Fermi level comes out at 2.51 states/eV/f.u. Its formation energy is -0.563 eV per atom. As for the spin magnetization: 0.00 μB/f.u. The uncorrected energy is -143.76 eV for the cell shown.


18.
Pm2Be4Ir3Rh: optimized geometry, GGA-PBE.

It has space group P-4m2 (No. 115), with a = 4.045 Å, b = 4.045 Å, c = 9.368 Å, α = 90.00°, β = 90.00° and γ = 90.00°. Symmetry generates all atoms from Pm at (0.000, 0.500, 0.249), Be at (0.000, 0.000, 0.500), Be at (0.000, 0.500, 0.879), Be at (0.500, 0.500, 0.500), Ir at (0.000, 0.000, 0.000), Ir at (0.000, 0.500, 0.623) and Rh at (0.500, 0.500, 0.000).

The density of states at the Fermi level comes out at 3.38 states/eV/f.u. Its formation energy is -0.614 eV per atom. As for the spin magnetization: 0.00 μB/f.u. The uncorrected energy is -64.48 eV for the cell shown.


19.
PmBe2IrRh: optimized geometry, GGA-PBE.

It has space group I-4m2 (No. 119), with a = 4.178 Å, b = 4.178 Å, c = 9.003 Å, α = 90.00°, β = 90.00° and γ = 90.00°. Symmetry generates all atoms from Pm at (0.000, 0.000, 0.000), Be at (0.000, 0.000, 0.350), Ir at (0.000, 0.500, 0.750) and Rh at (0.000, 0.500, 0.250).

The density of states at the Fermi level comes out at 1.85 states/eV/f.u. Its formation energy is -0.632 eV per atom. As for the spin magnetization: 0.00 μB/f.u. The uncorrected energy is -63.15 eV for the cell shown.


20.
PmScBeIr: optimized geometry, GGA-PBE.

It has space group F-43m (No. 216), with a = 6.766 Å, b = 6.766 Å, c = 6.766 Å, α = 90.00°, β = 90.00° and γ = 90.00°. Symmetry generates all atoms from Pm at (0.000, 0.000, 0.000), Sc at (0.000, 0.000, 0.500), Be at (0.250, 0.250, 0.250) and Ir at (0.250, 0.250, 0.750).

The density of states at the Fermi level comes out at 2.14 states/eV/f.u. Its formation energy is -0.324 eV per atom. As for the spin magnetization: 0.00 μB/f.u. The uncorrected energy is -99.87 eV for the cell shown.


21.
Pm2Be3SiIr4: optimized geometry, GGA-PBE.

It has space group P-4m2 (No. 115), with a = 4.113 Å, b = 4.113 Å, c = 9.486 Å, α = 90.00°, β = 90.00° and γ = 90.00°. Symmetry generates all atoms from Pm at (0.000, 0.500, 0.237), Be at (0.000, 0.500, 0.887), Be at (0.500, 0.500, 0.500), Si at (0.000, 0.000, 0.500), Ir at (0.000, 0.000, 0.000), Ir at (0.000, 0.500, 0.627) and Ir at (0.500, 0.500, 0.000).

The density of states at the Fermi level comes out at 3.11 states/eV/f.u. As for the spin magnetization: 0.00 μB/f.u. The uncorrected energy is -68.64 eV for the cell shown.


22.
Pm2BeSi4Ir3: optimized geometry, GGA-PBE.

It has space group P-4m2 (No. 115), with a = 4.138 Å, b = 4.138 Å, c = 9.972 Å, α = 90.00°, β = 90.00° and γ = 90.00°. Symmetry generates all atoms from Pm at (0.000, 0.500, 0.250), Be at (0.000, 0.000, 0.500), Si at (0.000, 0.000, 0.000), Si at (0.000, 0.500, 0.631), Si at (0.500, 0.500, 0.000), Ir at (0.000, 0.500, 0.874) and Ir at (0.500, 0.500, 0.500).

The density of states at the Fermi level comes out at 6.34 states/eV/f.u. As for the spin magnetization: 0.00 μB/f.u. The uncorrected energy is -70.02 eV for the cell shown.


23.
Pm3Be4Si2Ir2: optimized geometry, GGA-PBE.

It has space group P-3m1 (No. 164), with a = 3.9201 Å, b = 3.9201 Å, c = 14.8443 Å, α = 90.00°, β = 90.00° and γ = 120.00°. Symmetry generates all atoms from Pm at (0.0000, 0.0000, 0.0000), Pm at (0.0000, 0.0000, 0.2899), Be at (0.3333, 0.6667, 0.4186), Be at (0.3333, 0.6667, 0.8615), Si at (0.3333, 0.6667, 0.1406) and Ir at (0.3333, 0.6667, 0.5720).

The density of states at the Fermi level comes out at 7.70 states/eV/f.u. As for the spin magnetization: 0.00 μB/f.u. The uncorrected energy is -62.67 eV for the cell shown.


24.
PmBe2SiIr2: optimized geometry, GGA-PBE.

It has space group P4/mmm (No. 123), with a = 4.440 Å, b = 4.440 Å, c = 5.503 Å, α = 90.00°, β = 90.00° and γ = 90.00°. Symmetry generates all atoms from Pm at (0.000, 0.000, 0.000), Be at (0.500, 0.500, 0.277), Si at (0.000, 0.000, 0.500) and Ir at (0.000, 0.500, 0.500).

The density of states at the Fermi level comes out at 5.62 states/eV/f.u. As for the spin magnetization: 0.05 μB/f.u. The uncorrected energy is -35.73 eV for the cell shown.